The following is a DFT calculation (GGA-PBEsol) of crystalline CoTc2Ni at its relaxed geometry.

Computed properties:
Size of the total moment = 0.000 μB per formula unit
Crystal system = orthorhombic
Energy above the most stable polymorph in this dataset = 0 meV per atom
Total energy = -9.1742 eV/atom
E_form = -67 meV/atom

abc: 2.5748 4.1215 4.4982
angles: 90.00 90.00 90.00
Sites, in units of the cell vectors:
Co (0.0000, 0.0000, 0.0000)
Tc (0.5000, 0.0000, 0.5152)
Tc (0.5000, 0.5000, 0.1734)
Ni (0.0000, 0.5000, 0.6882)


The following is a DFT calculation (GGA-PBEsol) of crystalline CoTc2Ni at its relaxed geometry.

Computed properties:
Size of the total moment = 0.544 μB per formula unit
Crystal system = orthorhombic
Energy above the most stable polymorph in this dataset = 106 meV per atom
Total energy = -9.0683 eV/atom
E_form = 39 meV/atom

abc: 5.0900 7.4042 2.5519
angles: 90.00 90.00 90.00
Sites, in units of the cell vectors:
Co (0.0000, 0.0000, 0.0000)
Co (0.5000, 0.5000, 0.0000)
Tc (0.2500, 0.2500, 0.5000)
Tc (0.2500, 0.7500, 0.5000)
Tc (0.7500, 0.2500, 0.5000)
Tc (0.7500, 0.7500, 0.5000)
Ni (0.0000, 0.5000, 0.0000)
Ni (0.5000, 0.0000, 0.0000)


The following is a DFT calculation (GGA-PBEsol) of crystalline Co2TcNi at its relaxed geometry.

Computed properties:
Size of the total moment = 1.729 μB per formula unit
Crystal system = orthorhombic
Energy above the most stable polymorph in this dataset = 11 meV per atom
Total energy = -8.1125 eV/atom
E_form = 112 meV/atom

abc: 5.0300 7.0369 2.5181
angles: 90.00 90.00 90.00
Sites, in units of the cell vectors:
Co (0.2500, 0.2500, 0.0000)
Co (0.2500, 0.7500, 0.0000)
Co (0.7500, 0.2500, 0.0000)
Co (0.7500, 0.7500, 0.0000)
Tc (0.0000, 0.0000, 0.5000)
Tc (0.5000, 0.5000, 0.5000)
Ni (0.0000, 0.5000, 0.5000)
Ni (0.5000, 0.0000, 0.5000)


The following is a DFT calculation (GGA-PBEsol) of crystalline CoTcNi at its relaxed geometry.

Computed properties:
Size of the total moment = 0.001 μB per formula unit
Crystal system = orthorhombic
Total energy = -8.4111 eV/atom
E_form = -24 meV/atom

abc: 2.5502 3.5602 7.4900
angles: 90.00 90.00 90.00
Sites, in units of the cell vectors:
Co (0.0000, 0.0000, 0.0000)
Co (0.5000, 0.5000, 0.5000)
Tc (0.0000, 0.0000, 0.3358)
Tc (0.5000, 0.5000, 0.8358)
Ni (0.0000, 0.0000, 0.6660)
Ni (0.5000, 0.5000, 0.1660)


The following is a DFT calculation (GGA-PBEsol) of crystalline CoTc2Ni at its relaxed geometry.

Computed properties:
Size of the total moment = 1.147 μB per formula unit
Crystal system = tetragonal
Energy above the most stable polymorph in this dataset = 99 meV per atom
Total energy = -9.0753 eV/atom
E_form = 31 meV/atom

abc: 3.6585 3.6585 7.2406
angles: 90.00 90.00 90.00
Sites, in units of the cell vectors:
Co (0.0000, 0.0000, 0.0000)
Co (0.5000, 0.5000, 0.5000)
Tc (0.0000, 0.0000, 0.5000)
Tc (0.0000, 0.5000, 0.7500)
Tc (0.5000, 0.0000, 0.2500)
Tc (0.5000, 0.5000, 0.0000)
Ni (0.0000, 0.5000, 0.2500)
Ni (0.5000, 0.0000, 0.7500)


The following is a DFT calculation (GGA-PBEsol) of crystalline Co2TcNi at its relaxed geometry.

Computed properties:
Size of the total moment = 1.659 μB per formula unit
Crystal system = tetragonal
Energy above the most stable polymorph in this dataset = 0 meV per atom
Total energy = -8.1238 eV/atom
E_form = 101 meV/atom

abc: 3.5691 3.5691 3.4628
angles: 90.00 90.00 90.00
Sites, in units of the cell vectors:
Co (0.0000, 0.5000, 0.0000)
Co (0.5000, 0.0000, 0.0000)
Tc (0.0000, 0.0000, 0.5000)
Ni (0.5000, 0.5000, 0.5000)


The following is a DFT calculation (GGA-PBEsol) of crystalline CoNi2Te at its relaxed geometry.

Computed properties:
Size of the total moment = 1.598 μB per formula unit
Crystal system = tetragonal
Total energy = -5.7723 eV/atom

abc: 3.6679 3.6679 7.4944
angles: 90.00 90.00 90.00
Sites, in units of the cell vectors:
Co (0.0000, 0.0000, 0.0000)
Co (0.5000, 0.5000, 0.5000)
Ni (0.0000, 0.5000, 0.2500)
Ni (0.0000, 0.5000, 0.7500)
Ni (0.5000, 0.0000, 0.2500)
Ni (0.5000, 0.0000, 0.7500)
Te (0.0000, 0.0000, 0.5000)
Te (0.5000, 0.5000, 0.0000)


The following is a DFT calculation (GGA-PBEsol) of crystalline CoNiTe at its relaxed geometry.

Computed properties:
Size of the total moment = 0.000 μB per formula unit
Crystal system = cubic
Total energy = -5.7801 eV/atom

abc: 5.6490 5.6490 5.6490
angles: 90.00 90.00 90.00
Sites, in units of the cell vectors:
Co (0.0000, 0.0000, 0.0000)
Co (0.0000, 0.5000, 0.5000)
Co (0.5000, 0.0000, 0.5000)
Co (0.5000, 0.5000, 0.0000)
Ni (0.2500, 0.2500, 0.7500)
Ni (0.2500, 0.7500, 0.2500)
Ni (0.7500, 0.2500, 0.2500)
Ni (0.7500, 0.7500, 0.7500)
Te (0.2500, 0.2500, 0.2500)
Te (0.2500, 0.7500, 0.7500)
Te (0.7500, 0.2500, 0.7500)
Te (0.7500, 0.7500, 0.2500)


What did the eighth record say?
The following is a DFT calculation (GGA-PBEsol) of crystalline CoNiTe at its relaxed geometry.

Computed properties:
Size of the total moment = 0.000 μB per formula unit
Crystal system = cubic
Total energy = -5.7801 eV/atom

abc: 5.6490 5.6490 5.6490
angles: 90.00 90.00 90.00
Sites, in units of the cell vectors:
Co (0.0000, 0.0000, 0.0000)
Co (0.0000, 0.5000, 0.5000)
Co (0.5000, 0.0000, 0.5000)
Co (0.5000, 0.5000, 0.0000)
Ni (0.2500, 0.2500, 0.7500)
Ni (0.2500, 0.7500, 0.2500)
Ni (0.7500, 0.2500, 0.2500)
Ni (0.7500, 0.7500, 0.7500)
Te (0.2500, 0.2500, 0.2500)
Te (0.2500, 0.7500, 0.7500)
Te (0.7500, 0.2500, 0.7500)
Te (0.7500, 0.7500, 0.2500)


Number 7 is which compound?
CoNi2Te